Record 1
# Ca2SiIrSe PBE-GGA optimized geometry
# offset from the most stable computed form	0.663	eV/atom
# uncorrected formation energy	-18.2	meV/atom
data_Ca2SiIrSe
_symmetry_space_group_name_H-M 'P 4/m m m'
_symmetry_Int_Tables_number 123
_symmetry_space_group_name_Hall '-P 4 2'
_cell_length_a 5.393
_cell_length_b 5.393
_cell_length_c 4.612
_cell_angle_alpha 90.00
_cell_angle_beta 90.00
_cell_angle_gamma 90.00
loop_
_atom_site_label
_atom_site_fract_x
_atom_site_fract_y
_atom_site_fract_z
Ca1 0.000 0.500 0.000
Si1 0.000 0.000 0.500
Ir1 0.500 0.500 0.500
Se1 0.500 0.500 0.000

Record 2
# Ca2SiIrSe PBE-GGA optimized geometry
# offset from the most stable computed form	0.000	eV/atom
# uncorrected formation energy	-681.2	meV/atom
data_Ca2SiIrSe
_symmetry_space_group_name_H-M 'P 4/m m m'
_symmetry_Int_Tables_number 123
_symmetry_space_group_name_Hall '-P 4 2'
_cell_length_a 5.485
_cell_length_b 5.485
_cell_length_c 4.493
_cell_angle_alpha 90.00
_cell_angle_beta 90.00
_cell_angle_gamma 90.00
loop_
_atom_site_label
_atom_site_fract_x
_atom_site_fract_y
_atom_site_fract_z
Ca1 0.000 0.500 0.000
Si1 0.000 0.000 0.500
Ir1 0.000 0.000 0.000
Se1 0.500 0.500 0.500

Record 3
# CaSmIrSe PBE-GGA optimized geometry
# uncorrected formation energy	-843.5	meV/atom
data_CaSmIrSe
_symmetry_space_group_name_H-M 'F -4 3 m'
_symmetry_Int_Tables_number 216
_symmetry_space_group_name_Hall 'F -4 2 3'
_cell_length_a 7.116
_cell_length_b 7.116
_cell_length_c 7.116
_cell_angle_alpha 90.00
_cell_angle_beta 90.00
_cell_angle_gamma 90.00
loop_
_atom_site_label
_atom_site_fract_x
_atom_site_fract_y
_atom_site_fract_z
Ca1 0.000 0.000 0.000
Sm1 0.000 0.000 0.500
Ir1 0.250 0.250 0.750
Se1 0.250 0.250 0.250

Record 4
# SrCaIr2Se PBE-GGA optimized geometry
# uncorrected formation energy	1225.0	meV/atom
data_SrCaIr2Se
_symmetry_space_group_name_H-M 'P 4/m m m'
_symmetry_Int_Tables_number 123
_symmetry_space_group_name_Hall '-P 4 2'
_cell_length_a 4.826
_cell_length_b 4.826
_cell_length_c 6.440
_cell_angle_alpha 90.00
_cell_angle_beta 90.00
_cell_angle_gamma 90.00
loop_
_atom_site_label
_atom_site_fract_x
_atom_site_fract_y
_atom_site_fract_z
Sr1 0.000 0.000 0.000
Ca1 0.000 0.000 0.500
Ir1 0.000 0.500 0.500
Se1 0.500 0.500 0.000

Record 5
# CaYIr2Se PBE-GGA optimized geometry
# uncorrected formation energy	194.1	meV/atom
data_CaYIr2Se
_symmetry_space_group_name_H-M 'P 4/m m m'
_symmetry_Int_Tables_number 123
_symmetry_space_group_name_Hall '-P 4 2'
_cell_length_a 4.791
_cell_length_b 4.791
_cell_length_c 4.977
_cell_angle_alpha 90.00
_cell_angle_beta 90.00
_cell_angle_gamma 90.00
loop_
_atom_site_label
_atom_site_fract_x
_atom_site_fract_y
_atom_site_fract_z
Ca1 0.000 0.000 0.000
Y1 0.500 0.500 0.000
Ir1 0.000 0.500 0.500
Se1 0.000 0.000 0.500

Record 6
# CaYIrSe PBE-GGA optimized geometry
# uncorrected formation energy	-839.5	meV/atom
data_CaYIrSe
_symmetry_space_group_name_H-M 'F -4 3 m'
_symmetry_Int_Tables_number 216
_symmetry_space_group_name_Hall 'F -4 2 3'
_cell_length_a 7.045
_cell_length_b 7.045
_cell_length_c 7.045
_cell_angle_alpha 90.00
_cell_angle_beta 90.00
_cell_angle_gamma 90.00
loop_
_atom_site_label
_atom_site_fract_x
_atom_site_fract_y
_atom_site_fract_z
Ca1 0.000 0.000 0.000
Y1 0.000 0.000 0.500
Ir1 0.250 0.250 0.250
Se1 0.250 0.250 0.750

Question: The lowest uncorrected formation energy belongs to which entry?
Answer: CaSmIrSe

Question: uncorrected formation energy of number 6 (CaYIrSe)?
Answer: -839.5 meV/atom